Record 1
Below is a geometry-optimized HIrOs structure, with properties calculated at the PBE-GGA level.

Unit cell a=2.778 b=4.805 c=5.250 alpha=82.92 beta=74.97 gamma=73.63
Element x y z (fractional)
1 H 0.155 0.063 0.120
2 H 0.845 0.937 0.880
3 Ir 0.084 0.688 0.154
4 Ir 0.916 0.312 0.846
5 Os 0.320 0.767 0.592
6 Os 0.680 0.233 0.408

Calculated values
Volume (Å³/atom): 10.8
Energy relative to the lowest polymorph listed for this composition (meV per atom): 20
Magnetization (μB/f.u.): 0.0
Space-group type: P-1 (2)
VASP energy (eV/cell): -45.30
Density of states at the Fermi level (states/eV/f.u.): 1.753


Record 2
Below is a geometry-optimized BaHS structure, with properties calculated at the PBE-GGA level.

Unit cell a=4.588 b=4.588 c=4.631 alpha=119.71 beta=119.71 gamma=59.95
Element x y z (fractional)
1 Ba 0.000 0.000 0.000
2 H 0.624 0.624 0.869
3 S 0.488 0.488 0.465

Calculated values
Volume (Å³/atom): 23.1
Magnetization (μB/f.u.): 0.0
Space-group type: Cm (8)
VASP energy (eV/cell): -12.01
Density of states at the Fermi level (states/eV/f.u.): 0.983


Record 3
Below is a geometry-optimized SbRuPt2 structure, with properties calculated at the PBE-GGA level.

Unit cell a=3.014 b=3.968 c=5.852 alpha=90.00 beta=104.43 gamma=90.00
Element x y z (fractional)
1 Sb 0.000 0.000 0.000
2 Ru 0.411 0.500 0.813
3 Pt 0.167 0.500 0.309
4 Pt 0.773 0.000 0.533

Calculated values
Volume (Å³/atom): 16.9
Magnetization (μB/f.u.): 0.0
Space-group type: Pm (6)
Raw formation energy (eV/atom): 0.04
VASP energy (eV/cell): -25.32
Density of states at the Fermi level (states/eV/f.u.): 4.833


Record 4
Below is a geometry-optimized La3HoIn2 structure, with properties calculated at the PBE-GGA level.

Unit cell a=5.339 b=10.354 c=6.899 alpha=90.00 beta=90.00 gamma=90.00
Element x y z (fractional)
1 La 0.000 0.044 0.000
2 La 0.000 0.323 0.370
3 La 0.000 0.677 0.870
4 La 0.000 0.956 0.500
5 La 0.500 0.185 0.757
6 La 0.500 0.815 0.257
7 Ho 0.500 0.459 0.102
8 Ho 0.500 0.541 0.602
9 In 0.000 0.366 0.856
10 In 0.000 0.634 0.356
11 In 0.500 0.144 0.267
12 In 0.500 0.856 0.767

Calculated values
Volume (Å³/atom): 31.8
Energy relative to the lowest polymorph listed for this composition (meV per atom): 0
Magnetization (μB/f.u.): 0.0
Space-group type: Pmc2_1 (26)
VASP energy (eV/cell): -53.99
ΔE_f (eV per atom): -0.36
Density of states at the Fermi level (states/eV/f.u.): 6.964


Record 5
Below is a geometry-optimized Ti2VSe2Cl4 structure, with properties calculated at the PBE-GGA level.

Unit cell a=3.300 b=3.300 c=21.291 alpha=90.00 beta=90.00 gamma=120.00
Element x y z (fractional)
1 Ti 0.000 0.000 0.000
2 Ti 0.333 0.667 0.326
3 V 0.333 0.667 0.671
4 Se 0.000 0.000 0.596
5 Se 0.000 0.000 0.747
6 Cl 0.000 0.000 0.251
7 Cl 0.000 0.000 0.399
8 Cl 0.333 0.667 0.074
9 Cl 0.333 0.667 0.926

Calculated values
Volume (Å³/atom): 22.3
Magnetization (μB/f.u.): 0.9
Space-group type: P3m1 (156)
Raw formation energy (eV/atom): -1.24
VASP energy (eV/cell): -50.47
Density of states at the Fermi level (states/eV/f.u.): 2.145


Record 6
Below is a geometry-optimized AsIr2 structure, with properties calculated at the PBE-GGA level.

Unit cell a=6.824 b=6.824 c=3.495 alpha=90.00 beta=90.00 gamma=120.00
Element x y z (fractional)
1 As 0.000 0.000 0.000
2 As 0.333 0.667 0.500
3 As 0.667 0.333 0.500
4 Ir 0.000 0.312 0.500
5 Ir 0.000 0.651 0.000
6 Ir 0.312 0.000 0.500
7 Ir 0.349 0.349 0.000
8 Ir 0.651 0.000 0.000
9 Ir 0.688 0.688 0.500

Calculated values
Volume (Å³/atom): 15.7
Magnetization (μB/f.u.): 0.0
Space-group type: P-62m (189)
VASP energy (eV/cell): -65.34
ΔE_f (eV per atom): 0.20
Density of states at the Fermi level (states/eV/f.u.): 2.128